Entry 1:
Sm6Dy12Y PBE-GGA relaxed; energy relative to the lowest polymorph listed for this composition = 34.3 meV per atom; energy of formation = 21 kJ per mole of atoms; final energy = -0.1663 hartree per atom
1.0
-0.386 -0.235 -8.710
-7.252 -4.518 1.753
-3.140 8.043 1.232
Sm Dy Y
6 12 1
Cartesian
-5.674 5.501 -6.153
-7.976 -1.531 -5.861
-9.518 3.103 -0.295
-2.803 4.822 0.135
-5.105 -2.210 0.426
-1.261 0.187 -5.432
-3.617 2.751 -5.564
-1.857 2.404 -2.516
-2.979 -1.023 -2.374
-7.048 2.056 -6.065
-7.800 4.314 -3.352
-8.922 0.887 -3.210
-6.451 -1.597 -2.729
-6.100 3.782 -0.297
-7.162 0.540 -0.162
-4.328 4.888 -2.998
-4.678 -0.492 -5.430
-3.731 1.235 0.339
0.000 0.000 0.000



Entry 2:
UZnNiRh PBE-GGA relaxed; energy of formation = -23 kJ per mole of atoms; final energy = -0.2449 hartree per atom
1.0
-3.137 -1.073 3.109
1.174 -2.394 3.681
0.070 1.997 4.082
Rh Zn U Ni
1 1 1 1
Cartesian
-1.420 -1.103 8.154
-0.946 -0.735 5.436
0.000 0.000 0.000
-0.473 -0.368 2.718



Entry 3:
PrMg2CuAu4 PBE-GGA relaxed; energy of formation = -51 kJ per mole of atoms; final energy = -0.1349 hartree per atom
1.0
4.555 0.000 0.000
2.277 3.945 0.000
2.277 1.315 8.927
Pr Mg Cu Au
1 2 1 4
Cartesian
0.000 0.000 0.000
6.832 3.945 6.289
2.277 1.315 2.638
4.555 2.630 4.463
4.555 2.630 7.165
6.832 3.945 3.484
2.277 1.315 5.443
4.555 2.630 1.762



Entry 4:
HfInAu PBE-GGA relaxed; energy of formation = -34 kJ per mole of atoms; final energy = -0.2085 hartree per atom
1.0
-5.042 10.507 0.337
-1.135 0.109 -3.226
-3.104 -0.973 1.061
Hf Au In
2 2 2
Cartesian
-2.972 -0.276 0.502
-6.537 8.946 -1.540
-2.396 1.774 -1.449
-7.114 6.896 0.411
-5.674 5.748 -1.947
-4.971 3.031 -2.314



Question: Which of these has the lowest final energy?
Answer: UZnNiRh